First-principles (PBE) data for a geometry-optimized MoWSeS3 structure, as listed in the Alexandria database.

Structure (POSCAR):
```
MoWSeS3
1.0
1.610 -2.789 0.000
1.610 2.789 0.000
0.000 0.000 28.651
S Se Mo W
6 2 2 2
Direct
0.000 0.000 0.195 S
0.333 0.667 0.949 S
0.000 0.000 0.304 S
0.000 0.000 0.806 S
0.333 0.667 0.058 S
0.000 0.000 0.697 S
0.333 0.667 0.439 Se
0.333 0.667 0.559 Se
0.000 0.000 0.499 Mo
0.000 0.000 0.004 Mo
0.333 0.667 0.751 W
0.333 0.667 0.249 W
```

Properties
Formation energy from raw total energies = -0.792 eV per atom
Size of the total moment = 0.00 μB/cell
E above lowest polymorph = 0.0 kJ/mol of atoms